No. 1
The following is a DFT calculation (meta-GGA SCAN) of a PBEsol-optimized structure of YMg4Cu2.

The space group is R-3m (No. 166, hexagonal axes) and the conventional cell measures 4.7730, 4.7730 and 20.3667 Å, with angles of 90.00, 90.00 and 120.00 degrees. The inequivalent atoms are Y at (0.0000, 0.0000, 0.0000), Mg at (0.0000, 0.0000, 0.1575), Mg at (0.0000, 0.0000, 0.4193) and Cu at (0.0000, 0.0000, 0.2856).

The calculation puts the density of states at the Fermi level at 5.65 states/eV/cell. The value obtained for the theoretical density is 3883 kg/m3. The value obtained for the total energy is -11.286 eV per atom. The calculated formation energy comes out at -0.124 eV per atom.

=====

No. 2
The following is a DFT calculation (meta-GGA SCAN) of a PBEsol-optimized structure of Y3MgCu.

The space group is I4mm (No. 107) and the conventional cell measures 4.353, 4.353 and 17.127 Å, with angles of 90.00, 90.00 and 90.00 degrees. The inequivalent atoms are Y at (0.000, 0.000, 0.000), Y at (0.000, 0.500, 0.346), Mg at (0.000, 0.000, 0.197) and Cu at (0.000, 0.000, 0.454).

The calculation puts the density of states at the Fermi level at 11.24 states/eV/cell. The value obtained for the theoretical density is 3628 kg/m3. The value obtained for the total energy is -20.316 eV per atom. The calculated formation energy comes out at 0.424 eV per atom.

=====

No. 3
The following is a DFT calculation (meta-GGA SCAN) of a PBEsol-optimized structure of Y2MgCu2.

The space group is Immm (No. 71) and the conventional cell measures 4.403, 5.826 and 8.002 Å, with angles of 90.00, 90.00 and 90.00 degrees. The inequivalent atoms are Y at (0.000, 0.000, 0.209), Mg at (0.000, 0.500, 0.000) and Cu at (0.000, 0.293, 0.500).

The calculation puts the density of states at the Fermi level at 6.27 states/eV/cell. The value obtained for the theoretical density is 5326 kg/m3. The value obtained for the total energy is -18.475 eV per atom. The calculated formation energy comes out at -0.263 eV per atom. Its relative energy among the computed polymorphs is 32 meV per atom.

=====

No. 4
The following is a DFT calculation (meta-GGA SCAN) of a PBEsol-optimized structure of Y2Mg2Cu.

The space group is Ibam (No. 72) and the conventional cell measures 6.357, 13.474 and 5.416 Å, with angles of 90.00, 90.00 and 90.00 degrees. The inequivalent atoms are Y at (0.170, 0.175, 0.000), Mg at (0.162, 0.422, 0.000) and Cu at (0.000, 0.000, 0.250).

The calculation puts the density of states at the Fermi level at 13.12 states/eV/cell. The value obtained for the theoretical density is 4152 kg/m3. The value obtained for the total energy is -16.295 eV per atom. The calculated formation energy comes out at -0.129 eV per atom. Its relative energy among the computed polymorphs is 5 meV per atom.

=====

No. 5
The following is a DFT calculation (meta-GGA SCAN) of a PBEsol-optimized structure of Y2MgCu4.

The space group is I4/mcm (No. 140) and the conventional cell measures 7.457, 7.457 and 9.414 Å, with angles of 90.00, 90.00 and 90.00 degrees. The inequivalent atoms are Y at (0.161, 0.339, 0.000), Mg at (0.000, 0.000, 0.250) and Cu at (0.145, 0.355, 0.306).

The calculation puts the density of states at the Fermi level at 19.85 states/eV/cell. The value obtained for the theoretical density is 5789 kg/m3. The value obtained for the total energy is -17.565 eV per atom. The calculated formation energy comes out at -0.214 eV per atom.

=====

No. 6
The following is a DFT calculation (meta-GGA SCAN) of a PBEsol-optimized structure of Y3Mg7Cu2.

The space group is R-3m (No. 166, hexagonal axes) and the conventional cell measures 5.8459, 5.8459 and 27.1584 Å, with angles of 90.00, 90.00 and 120.00 degrees. The inequivalent atoms are Y at (0.0000, 0.0000, 0.0000), Y at (0.0000, 0.0000, 0.1426), Mg at (0.0000, 0.0000, 0.5000), Mg at (0.0034, 0.5017, 0.9247) and Cu at (0.0000, 0.0000, 0.3340).

The calculation puts the density of states at the Fermi level at 28.39 states/eV/cell. The value obtained for the theoretical density is 3495 kg/m3. The value obtained for the total energy is -12.500 eV per atom. The calculated formation energy comes out at -0.105 eV per atom.

=====

No. 7
The following is a DFT calculation (meta-GGA SCAN) of a PBEsol-optimized structure of Y3Mg2Cu7.

The space group is R-3m (No. 166, hexagonal axes) and the conventional cell measures 5.2428, 5.2428 and 24.9499 Å, with angles of 90.00, 90.00 and 120.00 degrees. The inequivalent atoms are Y at (0.0000, 0.0000, 0.0000), Y at (0.0000, 0.0000, 0.1395), Mg at (0.0000, 0.0000, 0.3331), Cu at (0.0000, 0.0000, 0.5000) and Cu at (0.0019, 0.5009, 0.9137).

The calculation puts the density of states at the Fermi level at 22.55 states/eV/cell. The value obtained for the theoretical density is 6376 kg/m3. The value obtained for the total energy is -16.845 eV per atom. The calculated formation energy comes out at -0.189 eV per atom.

=====

No. 8
The following is a DFT calculation (meta-GGA SCAN) of a PBEsol-optimized structure of YMg2Cu9.

The space group is P6_3/mmc (No. 194) and the conventional cell measures 4.9226, 4.9226 and 15.8993 Å, with angles of 90.00, 90.00 and 120.00 degrees. The inequivalent atoms are Y at (0.3333, 0.6667, 0.2500), Mg at (0.3333, 0.6667, 0.0330), Cu at (0.0000, 0.0000, 0.0000), Cu at (0.0000, 0.0000, 0.2500), Cu at (0.1680, 0.3359, 0.6233) and Cu at (0.3333, 0.6667, 0.7500).

The calculation puts the density of states at the Fermi level at 11.05 states/eV/cell. The value obtained for the theoretical density is 7061 kg/m3. The value obtained for the total energy is -14.757 eV per atom. The calculated formation energy comes out at -0.208 eV per atom.

=====

No. 9
The following is a DFT calculation (meta-GGA SCAN) of a PBEsol-optimized structure of Y2Mg2Cu.

The space group is Pmmn (No. 59, origin choice 2) and the conventional cell measures 3.890, 4.886 and 12.274 Å, with angles of 90.00, 90.00 and 90.00 degrees. The inequivalent atoms are Y at (0.250, 0.250, 0.085), Y at (0.250, 0.750, 0.293), Mg at (0.250, 0.250, 0.492), Mg at (0.250, 0.750, 0.699) and Cu at (0.250, 0.250, 0.862).

The calculation puts the density of states at the Fermi level at 6.68 states/eV/cell. The value obtained for the theoretical density is 4128 kg/m3. The value obtained for the total energy is -16.292 eV per atom. The calculated formation energy comes out at -0.126 eV per atom. Its relative energy among the computed polymorphs is 8 meV per atom.

=====

No. 10
The following is a DFT calculation (meta-GGA SCAN) of a PBEsol-optimized structure of Y2MgCu.

The space group is Cmcm (No. 63) and the conventional cell measures 3.516, 12.087 and 8.851 Å, with angles of 90.00, 90.00 and 90.00 degrees. The inequivalent atoms are Y at (0.000, 0.134, 0.059), Mg at (0.000, 0.434, 0.250) and Cu at (0.000, 0.240, 0.750).

The calculation puts the density of states at the Fermi level at 13.19 states/eV/cell. The value obtained for the theoretical density is 4691 kg/m3. The value obtained for the total energy is -19.112 eV per atom. The calculated formation energy comes out at -0.147 eV per atom.

=====

No. 11
The following is a DFT calculation (meta-GGA SCAN) of a PBEsol-optimized structure of YMg3Cu.

The space group is I4mm (No. 107) and the conventional cell measures 4.072, 4.072 and 13.313 Å, with angles of 90.00, 90.00 and 90.00 degrees. The inequivalent atoms are Y at (0.000, 0.000, 0.000), Mg at (0.000, 0.000, 0.373), Mg at (0.000, 0.500, 0.204) and Cu at (0.000, 0.000, 0.567).

The calculation puts the density of states at the Fermi level at 6.39 states/eV/cell. The value obtained for the theoretical density is 3390 kg/m3. The value obtained for the total energy is -11.685 eV per atom. The calculated formation energy comes out at -0.093 eV per atom.

=====

No. 12
The following is a DFT calculation (meta-GGA SCAN) of a PBEsol-optimized structure of Y2Mg2Cu.

The space group is R-3m (No. 166, hexagonal axes) and the conventional cell measures 4.9973, 4.9973 and 15.8720 Å, with angles of 90.00, 90.00 and 120.00 degrees. The inequivalent atoms are Y at (0.0000, 0.0000, 0.1100), Mg at (0.0000, 0.0000, 0.3286) and Cu at (0.0000, 0.0000, 0.5000).

The calculation puts the density of states at the Fermi level at 10.72 states/eV/cell. The value obtained for the theoretical density is 4208 kg/m3. The value obtained for the total energy is -16.267 eV per atom. The calculated formation energy comes out at -0.101 eV per atom. Its relative energy among the computed polymorphs is 33 meV per atom.